(1)
The following is a meta-GGA SCAN calculation of Li2TeAs at its PBEsol-relaxed geometry, from the Alexandria database.

Structure (CIF):
```
data_Li2TeAs
_chemical_formula_sum 'Li2 Te1 As1'
_symmetry_space_group_name_H-M 'P 1'
_symmetry_Int_Tables_number 1
_cell_length_a 4.170
_cell_length_b 4.481
_cell_length_c 5.093
_cell_angle_alpha 116.10
_cell_angle_beta 114.17
_cell_angle_gamma 90.00
loop_
_symmetry_equiv_pos_as_xyz
'x,y,z'
loop_
_atom_site_label
_atom_site_type_symbol
_atom_site_fract_x
_atom_site_fract_y
_atom_site_fract_z
_atom_site_occupancy
Te1 Te 0.000 0.500 0.000 1
Li1 Li 0.244 0.244 0.488 1
Li2 Li 0.756 0.756 0.512 1
As1 As 0.500 0.000 0.000 1
```

V ... 19.018 Å³/atom
Energy relative to the lowest polymorph listed for this composition ... 0 meV per atom
Raw formation energy ... -556 meV/atom
Magnetization ... 0.00 μB per atom
VASP energy ... -16.111 eV per atom



(2)
The following is a meta-GGA SCAN calculation of Sb2WAu at its PBEsol-relaxed geometry, from the Alexandria database.

Structure (CIF):
```
data_Sb2WAu
_chemical_formula_sum 'Sb2 W1 Au1'
_symmetry_space_group_name_H-M 'P 1'
_symmetry_Int_Tables_number 1
_cell_length_a 3.515
_cell_length_b 4.330
_cell_length_c 5.548
_cell_angle_alpha 90.00
_cell_angle_beta 108.87
_cell_angle_gamma 90.00
loop_
_symmetry_equiv_pos_as_xyz
'x,y,z'
loop_
_atom_site_label
_atom_site_type_symbol
_atom_site_fract_x
_atom_site_fract_y
_atom_site_fract_z
_atom_site_occupancy
W1 W 0.297 0.000 0.464 1
Au1 Au 0.462 0.500 0.809 1
Sb1 Sb 0.014 0.000 0.902 1
Sb2 Sb 0.727 0.500 0.325 1
```

V ... 19.976 Å³/atom
Energy relative to the lowest polymorph listed for this composition ... 0 meV per atom
Raw formation energy ... 412 meV/atom
Magnetization ... 0.00 μB per atom
VASP energy ... -52.930 eV per atom